Entry 1:
A plane-wave DFT calculation with GGA-PBE was carried out for an optimized crystal structure of ScTa5C4.

Formation enthalpy at 0 K, kJ/mol of atoms: -53.7
Size of the total moment, μB per cell: 0.0
Total DFT energy (no corrections), eV/atom: -10.81

Lattice parameters (Å, degrees): 7.0054 7.0054 6.3789 104.36 104.36 25.96
Closest atoms and distances in Å follow each position.
Fractional positions:
Sc: 0.0000 0.0000 0.0000  6 C 2.24-2.28
Ta: 0.0000 0.0000 0.5000  4 C 2.20
Ta: 0.3317 0.3317 0.6754  3 C 2.16-2.18
Ta: 0.3378 0.3378 0.1547  4 C 2.19-2.22
Ta: 0.6622 0.6622 0.8453  4 C 2.19-2.22
Ta: 0.6683 0.6683 0.3246  3 C 2.16-2.18
C: 0.1700 0.1700 0.0886  5 Ta 2.18-2.22, 1 Sc 2.24
C: 0.4947 0.4947 0.7382  4 Ta 2.16-2.21, 2 Sc 2.28
C: 0.5053 0.5053 0.2618  4 Ta 2.16-2.21, 2 Sc 2.28
C: 0.8300 0.8300 0.9114  5 Ta 2.18-2.22, 1 Sc 2.24


Entry 2:
A plane-wave DFT calculation with GGA-PBE was carried out for an optimized crystal structure of Sc2TaC3.

Formation enthalpy at 0 K, kJ/mol of atoms: -52.2
Size of the total moment, μB per cell: 0.0
Total DFT energy (no corrections), eV/atom: -9.24

Lattice parameters (Å, degrees): 5.6065 5.6065 5.6377 99.55 99.55 119.99
Closest atoms and distances in Å follow each position.
Fractional positions:
Sc: 0.0000 0.0000 0.0000  6 C 2.30-2.31
Sc: 0.1655 0.8345 0.5000  6 C 2.29-2.36
Sc: 0.5000 0.5000 0.5000  6 C 2.28-2.36
Sc: 0.8345 0.1655 0.5000  6 C 2.29-2.36
Ta: 0.3327 0.6673 0.0000  6 C 2.23-2.24
Ta: 0.6673 0.3327 0.0000  6 C 2.23-2.24
C: 0.0789 0.4231 0.2369  2 Ta 2.23, 4 Sc 2.29-2.36
C: 0.2643 0.2643 0.7611  2 Ta 2.24, 4 Sc 2.28-2.35
C: 0.4231 0.0789 0.2369  2 Ta 2.23, 4 Sc 2.29-2.36
C: 0.5769 0.9211 0.7631  2 Ta 2.23, 4 Sc 2.29-2.36
C: 0.7357 0.7357 0.2389  2 Ta 2.24, 4 Sc 2.28-2.35
C: 0.9211 0.5769 0.7631  2 Ta 2.23, 4 Sc 2.29-2.36


Entry 3:
A plane-wave DFT calculation with GGA-PBE was carried out for an optimized crystal structure of ScTa5C6.

Formation enthalpy at 0 K, kJ/mol of atoms: -63.3
Size of the total moment, μB per cell: 0.0
Total DFT energy (no corrections), eV/atom: -10.73

Lattice parameters (Å, degrees): 5.5007 5.5007 5.5076 99.63 99.63 119.84
Closest atoms and distances in Å follow each position.
Fractional positions:
Sc: 0.0000 0.0000 0.0000  6 C 2.26-2.27
Ta: 0.1635 0.8365 0.5000  6 C 2.23-2.24
Ta: 0.3339 0.6661 0.0000  6 C 2.24-2.26
Ta: 0.5000 0.5000 0.5000  6 C 2.24
Ta: 0.6661 0.3339 0.0000  6 C 2.24-2.26
Ta: 0.8365 0.1635 0.5000  6 C 2.23-2.24
C: 0.0847 0.4212 0.2544  5 Ta 2.24-2.26, 1 Sc 2.27
C: 0.2523 0.2523 0.7496  5 Ta 2.23-2.24, 1 Sc 2.26
C: 0.4212 0.0847 0.2544  5 Ta 2.24-2.26, 1 Sc 2.27
C: 0.5788 0.9153 0.7456  5 Ta 2.24-2.26, 1 Sc 2.27
C: 0.7477 0.7477 0.2504  5 Ta 2.23-2.24, 1 Sc 2.26
C: 0.9153 0.5788 0.7456  5 Ta 2.24-2.26, 1 Sc 2.27


Entry 4:
A plane-wave DFT calculation with GGA-PBE was carried out for an optimized crystal structure of ScTa2C.

Formation enthalpy at 0 K, kJ/mol of atoms: 11.7
Size of the total moment, μB per cell: 0.0
Total DFT energy (no corrections), eV/atom: -9.69

Lattice parameters (Å, degrees): 7.5264 7.5264 4.6394 90.00 90.00 90.00
Closest atoms and distances in Å follow each position.
Fractional positions:
Sc: 0.0000 0.0000 0.0000  2 C 2.32
Sc: 0.0000 0.5000 0.2500  2 C 2.32
Sc: 0.5000 0.0000 0.7500  2 C 2.32
Sc: 0.5000 0.5000 0.5000  2 C 2.32
Ta: 0.1344 0.7500 0.6250  2 C 2.21
Ta: 0.2500 0.1344 0.3750  2 C 2.21
Ta: 0.2500 0.3656 0.8750  2 C 2.21
Ta: 0.3656 0.7500 0.1250  2 C 2.21
Ta: 0.6344 0.2500 0.1250  2 C 2.21
Ta: 0.7500 0.6344 0.8750  2 C 2.21
Ta: 0.7500 0.8656 0.3750  2 C 2.21
Ta: 0.8656 0.2500 0.6250  2 C 2.21
C: 0.0000 0.0000 0.5000  4 Ta 2.21, 2 Sc 2.32
C: 0.0000 0.5000 0.7500  4 Ta 2.21, 2 Sc 2.32
C: 0.5000 0.0000 0.2500  4 Ta 2.21, 2 Sc 2.32
C: 0.5000 0.5000 0.0000  4 Ta 2.21, 2 Sc 2.32


Entry 5:
A plane-wave DFT calculation with GGA-PBE was carried out for an optimized crystal structure of Sc2TaC.

Formation enthalpy at 0 K, kJ/mol of atoms: 16.1
Size of the total moment, μB per cell: 0.0
Total DFT energy (no corrections), eV/atom: -8.27

Lattice parameters (Å, degrees): 8.3144 8.3144 4.2818 90.00 90.00 90.00
Closest atoms and distances in Å follow each position.
Fractional positions:
Sc: 0.1145 0.7500 0.1250  2 C 2.35
Sc: 0.2500 0.1145 0.8750  2 C 2.35
Sc: 0.2500 0.3855 0.3750  2 C 2.35
Sc: 0.3855 0.7500 0.6250  2 C 2.35
Sc: 0.6145 0.2500 0.6250  2 C 2.35
Sc: 0.7500 0.6145 0.3750  2 C 2.35
Sc: 0.7500 0.8855 0.8750  2 C 2.35
Sc: 0.8855 0.2500 0.1250  2 C 2.35
Ta: 0.0000 0.0000 0.5000  2 C 2.14
Ta: 0.0000 0.5000 0.7500  2 C 2.14
Ta: 0.5000 0.0000 0.2500  2 C 2.14
Ta: 0.5000 0.5000 0.0000  2 C 2.14
C: 0.0000 0.0000 0.0000  2 Ta 2.14, 4 Sc 2.35
C: 0.0000 0.5000 0.2500  2 Ta 2.14, 4 Sc 2.35
C: 0.5000 0.0000 0.7500  2 Ta 2.14, 4 Sc 2.35
C: 0.5000 0.5000 0.5000  2 Ta 2.14, 4 Sc 2.35


Entry 6:
A plane-wave DFT calculation with GGA-PBE was carried out for an optimized crystal structure of ScTaC.

Formation enthalpy at 0 K, kJ/mol of atoms: 7.2
Size of the total moment, μB per cell: 1.0
Distance to the lowest polymorph of the same formula, meV per atom: 632
Total DFT energy (no corrections), eV/atom: -9.06

Lattice parameters (Å, degrees): 3.6500 3.6500 6.5790 90.00 90.00 90.00
Closest atoms and distances in Å follow each position.
Fractional positions:
Sc: 0.2500 0.2500 0.1310  5 C 2.50-2.70
Sc: 0.7500 0.7500 0.8690  5 C 2.50-2.70
Ta: 0.2500 0.7500 0.5000  4 C 2.46, 4 Ta 2.58
Ta: 0.7500 0.2500 0.5000  4 C 2.46, 4 Ta 2.58
C: 0.2500 0.2500 0.7503  4 Ta 2.46, 5 Sc 2.50-2.70
C: 0.7500 0.7500 0.2497  4 Ta 2.46, 5 Sc 2.50-2.70


Entry 7:
A plane-wave DFT calculation with GGA-PBE was carried out for an optimized crystal structure of ScTa4C4.

Formation enthalpy at 0 K, kJ/mol of atoms: -66.0
Size of the total moment, μB per cell: 0.0
Total DFT energy (no corrections), eV/atom: -10.75

Lattice parameters (Å, degrees): 5.5382 5.5382 5.5382 99.22 99.22 132.80
Closest atoms and distances in Å follow each position.
Fractional positions:
Sc: 0.0000 0.0000 0.0000  4 C 2.29
Ta: 0.1820 0.3842 0.5662  5 C 2.11-2.32
Ta: 0.3842 0.8180 0.2021  5 C 2.11-2.32
Ta: 0.6158 0.1820 0.7979  5 C 2.11-2.32
Ta: 0.8180 0.6158 0.4338  5 C 2.11-2.32
C: 0.1003 0.6965 0.7969  5 Ta 2.11-2.32, 1 Sc 2.29
C: 0.3035 0.1003 0.4038  5 Ta 2.11-2.32, 1 Sc 2.29
C: 0.6965 0.8997 0.5962  5 Ta 2.11-2.32, 1 Sc 2.29
C: 0.8997 0.3035 0.2031  5 Ta 2.11-2.32, 1 Sc 2.29


Entry 8:
A plane-wave DFT calculation with GGA-PBE was carried out for an optimized crystal structure of Sc2TaC.

Formation enthalpy at 0 K, kJ/mol of atoms: 102.9
Size of the total moment, μB per cell: 0.0
Total DFT energy (no corrections), eV/atom: -7.37

Lattice parameters (Å, degrees): 3.1160 3.1160 27.6616 90.00 90.00 120.00
Closest atoms and distances in Å follow each position.
Fractional positions:
Sc: 0.0000 0.0000 0.0779  1 C 2.15
Sc: 0.0000 0.0000 0.9221  1 C 2.15
Sc: 0.3333 0.6667 0.5888  1 C 2.15
Sc: 0.3333 0.6667 0.7445  1 C 2.15
Sc: 0.6667 0.3333 0.2555  1 C 2.15
Sc: 0.6667 0.3333 0.4112  1 C 2.15
Ta: 0.0000 0.0000 0.5000  6 Sc 3.04, 6 Ta 3.12
Ta: 0.3333 0.6667 0.1667  6 Sc 3.04, 6 Ta 3.12
Ta: 0.6667 0.3333 0.8333  6 Sc 3.04, 6 Ta 3.12
C: 0.0000 0.0000 0.0000  2 Sc 2.15
C: 0.3333 0.6667 0.6667  2 Sc 2.15
C: 0.6667 0.3333 0.3333  2 Sc 2.15